1.
First-principles (PBE) data for Sc2Si4Ir3Pt after structural relaxation, as listed in Alexandria.

space group: P-4m2 (115)
E_form (uncorrected): -0.95 eV/atom

Cell: 4.008 4.008 10.062 Å, 90.00 90.00 90.00°
Positions (direct):
Sc1 0.000 0.500 0.242
Sc2 0.500 0.000 0.758
Si1 0.000 0.000 0.000
Si2 0.000 0.500 0.638
Si3 0.500 0.000 0.362
Si4 0.500 0.500 0.000
Ir1 0.000 0.500 0.868
Ir2 0.500 0.000 0.132
Ir3 0.500 0.500 0.500
Pt1 0.000 0.000 0.500



2.
First-principles (PBE) data for LaBe2Mo after structural relaxation, as listed in Alexandria.

formation enthalpy at 0 K: 0.40 eV per atom
space group: P4mm (99)

Cell: 2.829 2.829 7.825 Å, 90.00 90.00 90.00°
Positions (direct):
La1 0.000 0.000 0.000
Be1 0.000 0.000 0.568
Be2 0.500 0.500 0.693
Mo1 0.500 0.500 0.358



3.
First-principles (PBE) data for NbAgI2N after structural relaxation, as listed in Alexandria.

space group: P4/mmm (123)
E_form (uncorrected): 1.41 eV/atom

Cell: 5.821 5.821 3.864 Å, 90.00 90.00 90.00°
Positions (direct):
Nb1 0.000 0.000 0.000
Ag1 0.500 0.500 0.500
I1 0.000 0.500 0.500
I2 0.500 0.000 0.500
N1 0.500 0.500 0.000



4.
First-principles (PBE) data for Ce4PaRh5 after structural relaxation, as listed in Alexandria.

formation enthalpy at 0 K: -0.71 eV per atom
space group: I4/m (87)

Cell: 6.941 6.941 6.941 Å, 99.59 99.59 131.82°
Positions (direct):
Ce1 0.100 0.299 0.399
Ce2 0.299 0.900 0.199
Ce3 0.701 0.100 0.801
Ce4 0.900 0.701 0.601
Pa1 0.500 0.500 0.000
Rh1 0.000 0.000 0.000
Rh2 0.209 0.594 0.803
Rh3 0.406 0.209 0.615
Rh4 0.594 0.791 0.385
Rh5 0.791 0.406 0.197



Number 1: total magnetic moment 0.00 μB/cell, electronic total energy -7.6477 eV per atom. Number 2: total magnetic moment 0.00 μB/cell, electronic total energy -5.4036 eV per atom. Number 3: total magnetic moment 3.46 μB/cell, electronic total energy -3.4628 eV per atom. Number 4: total magnetic moment 0.00 μB/cell, electronic total energy -7.7118 eV per atom.